Below is a relaxed structure of Zn2IrSe, with properties calculated at the PBE level.

## Properties
space-group type	P4mm, No. 99
E_form (uncorrected)	0.136	eV/atom

a b c (Å): 3.393 3.393 5.598
angles (deg): 90.00 90.00 90.00
Site moments in Bohr magnetons follow the coordinates.
Fractional positions:
Ir: 0.000 0.000 0.463  0.32
Se: 0.500 0.500 0.762  0.02
Zn: 0.000 0.000 0.004  0.01
Zn: 0.500 0.500 0.271  0.00


Below is a relaxed structure of Cu15Pt2Au2, with properties calculated at the PBE level.

## Properties
space-group type	R-3m, No. 166
DFT total energy	-79.1	eV per cell

a b c (Å): 6.409 6.409 6.409
angles (deg): 81.69 81.69 81.69
Fractional positions:
Cu: 0.000 0.500 0.000
Cu: 0.000 0.000 0.500
Cu: 0.500 0.000 0.000
Cu: 0.303 0.000 0.697
Cu: 0.697 0.303 0.000
Cu: 0.000 0.697 0.303
Cu: 0.303 0.697 0.000
Cu: 0.000 0.303 0.697
Cu: 0.697 0.000 0.303
Cu: 0.355 0.842 0.355
Cu: 0.355 0.355 0.842
Cu: 0.842 0.355 0.355
Cu: 0.645 0.158 0.645
Cu: 0.645 0.645 0.158
Cu: 0.158 0.645 0.645
Pt: 0.894 0.894 0.894
Pt: 0.106 0.106 0.106
Au: 0.652 0.652 0.652
Au: 0.348 0.348 0.348


Below is a relaxed structure of NaSn8Au2, with properties calculated at the PBE level.

## Properties
space-group type	P4/mmm, No. 123
excess energy over the best structure of this formula in the dataset	52	meV/atom

a b c (Å): 6.562 6.562 7.211
angles (deg): 90.00 90.00 90.00
Fractional positions:
Na: 0.500 0.500 0.500
Sn: 0.763 0.763 0.246
Sn: 0.763 0.237 0.754
Sn: 0.763 0.763 0.754
Sn: 0.763 0.237 0.246
Sn: 0.237 0.763 0.246
Sn: 0.237 0.763 0.754
Sn: 0.237 0.237 0.246
Sn: 0.237 0.237 0.754
Au: 0.500 0.000 0.000
Au: 0.000 0.500 0.000


Below is a relaxed structure of BaP3Pd7, with properties calculated at the PBE level.

## Properties
space-group type	R-3c, No. 167
DFT total energy	-117.6	eV per cell

a b c (Å): 7.779 7.779 8.375
angles (deg): 62.33 62.33 60.00
Fractional positions:
Ba: 0.500 0.500 0.500
Ba: 0.000 0.000 0.000
P: 0.432 0.068 0.750
P: 0.068 0.750 0.750
P: 0.750 0.432 0.750
P: 0.568 0.932 0.250
P: 0.932 0.250 0.250
P: 0.250 0.568 0.250
Pd: 0.652 0.080 0.416
Pd: 0.080 0.853 0.416
Pd: 0.853 0.652 0.416
Pd: 0.848 0.647 0.084
Pd: 0.420 0.848 0.084
Pd: 0.647 0.420 0.084
Pd: 0.348 0.920 0.584
Pd: 0.920 0.147 0.584
Pd: 0.147 0.348 0.584
Pd: 0.152 0.353 0.916
Pd: 0.580 0.152 0.916
Pd: 0.353 0.580 0.916
Pd: 0.750 0.750 0.750
Pd: 0.250 0.250 0.250


Below is a relaxed structure of Co7Sn2GeAs2, with properties calculated at the PBE level.

## Properties
space-group type	I4/mmm, No. 139
DFT total energy	-71.7	eV per cell

a b c (Å): 3.567 3.567 14.693
angles (deg): 83.00 83.00 89.99
Site moments in Bohr magnetons follow the coordinates.
Fractional positions:
Co: 0.500 0.500 0.000  1.24
Co: 0.308 0.308 0.383  0.09
Co: 0.692 0.692 0.617  0.09
Co: 0.939 0.439 0.120  0.79
Co: 0.439 0.939 0.120  0.79
Co: 0.561 0.061 0.880  0.79
Co: 0.061 0.561 0.880  0.79
Sn: 0.787 0.787 0.425  0.00
Sn: 0.213 0.213 0.575  0.00
Ge: 0.000 0.000 0.000  -0.04
As: 0.614 0.614 0.774  -0.02
As: 0.386 0.386 0.226  -0.02


Below is a relaxed structure of La2TbPmMg, with properties calculated at the PBE level.

## Properties
space-group type	P2_1/m, No. 11
DFT total energy	-41.5	eV per cell

a b c (Å): 5.676 6.782 9.856
angles (deg): 61.07 90.00 90.00
Fractional positions:
La: 0.750 0.688 0.856
La: 0.250 0.312 0.144
La: 0.250 0.049 0.570
La: 0.750 0.951 0.430
Tb: 0.250 0.937 0.942
Tb: 0.750 0.063 0.058
Pm: 0.750 0.314 0.648
Pm: 0.250 0.686 0.352
Mg: 0.750 0.516 0.249
Mg: 0.250 0.484 0.751